# 1
Compound: CaAl2Cl
Source: Alexandria via LeMat-Bulk
Functional: PBE-GGA
Structure: optimized geometry

Output
energy above the lowest structure with this stoichiometry	555	meV per atom
E_form (uncorrected)	-0.040	eV per atom

Cell: 3.7529 5.3806 9.1740 Å, 90.00 90.00 90.00°
Space group Cmmm (No. 65)
Inequivalent atoms, fractional coordinates:
Ca 0.0000 0.0000 0.0000 x2
Al 0.0000 0.5000 0.2687 x4
Cl 0.0000 0.0000 0.5000 x2

=====

# 2
Compound: CaAl4Cl
Source: Alexandria via LeMat-Bulk
Functional: PBE-GGA
Structure: optimized geometry

Output
E_form (uncorrected)	-0.125	eV per atom

Cell: 8.0270 8.0270 8.0270 Å, 90.00 90.00 90.00°
Space group F-43m (No. 216)
Inequivalent atoms, fractional coordinates:
Ca 0.0000 0.0000 0.0000 x4
Al 0.1257 0.1257 0.3743 x16
Cl 0.2500 0.2500 0.7500 x4

=====

# 3
Compound: CaAlCl4
Source: Alexandria via LeMat-Bulk
Functional: PBE-GGA
Structure: optimized geometry

Output
E_form (uncorrected)	-0.321	eV per atom

Cell: 8.5259 8.5259 8.5259 Å, 90.00 90.00 90.00°
Space group F-43m (No. 216)
Inequivalent atoms, fractional coordinates:
Ca 0.0000 0.0000 0.0000 x4
Al 0.2500 0.2500 0.2500 x4
Cl 0.1253 0.1253 0.6253 x16

=====

The density of states at the Fermi level results, record by record, are as follows: 1.3; 4.6; 4.3 states/eV/f.u..